(1)
First-principles (PBE) data for Ce6SbOs2 after structural relaxation, as listed in Alexandria via LeMat-Bulk.

raw formation energy = -22.79 kJ per mole of atoms
magnetic moment = 8.8 Bohr magnetons per cell
polymorph energy (0 for the lowest one) = 0.122 eV per atom

Cell lengths 15.888, 9.587, 6.300 Å; angles 90.00, 106.46, 90.00 degrees
Space group C2/c (No. 15)
Asymmetric unit:
Ce 0.081 0.032 0.449 (multiplicity 8)
Ce 0.086 0.413 0.209 (multiplicity 8)
Ce 0.205 0.275 0.739 (multiplicity 8)
Sb 0.000 0.266 0.750 (multiplicity 4)
Os 0.248 0.493 0.092 (multiplicity 8)

---

(2)
First-principles (PBE) data for KPa2O5F after structural relaxation, as listed in Alexandria via LeMat-Bulk.

raw formation energy = -327.51 kJ per mole of atoms
magnetic moment = 0.0 Bohr magnetons per cell

Cell lengths 4.301, 4.301, 9.034 Å; angles 90.00, 90.00, 90.00 degrees
Space group P4/mmm (No. 123)
Asymmetric unit:
K 0.000 0.000 0.000 (multiplicity 1)
Pa 0.500 0.500 0.242 (multiplicity 2)
O 0.000 0.500 0.231 (multiplicity 4)
O 0.500 0.500 0.000 (multiplicity 1)
F 0.500 0.500 0.500 (multiplicity 1)

---

(3)
First-principles (PBE) data for ZnCrSi2 after structural relaxation, as listed in Alexandria via LeMat-Bulk.

raw formation energy = 14.13 kJ per mole of atoms
magnetic moment = 0.0 Bohr magnetons per cell

Cell lengths 4.300, 2.640, 9.540 Å; angles 90.00, 90.00, 90.00 degrees
Space group Amm2 (No. 38)
Asymmetric unit:
Zn 0.000 0.000 0.000 (multiplicity 2)
Cr 0.500 0.000 0.160 (multiplicity 2)
Si 0.000 0.000 0.729 (multiplicity 2)
Si 0.500 0.000 0.880 (multiplicity 2)